A geometry-optimized CoRuPt2 structure. Source: Alexandria, functional GGA-PBEsol.

Size of the total moment in μB per cell: 2.74
Total energy in eV/atom: -7.937
Space-group type: Cmmm
E above lowest polymorph in meV/atom: 10.8

a = 2.666 Å, b = 4.662 Å, c = 4.662 Å
α = 110.45°, β = 90.00°, γ = 90.00°
Last column: magnetic moment on the atom in μB.
Atoms (fractional coordinates):
Co 0.500 0.500 0.500  1.94
Pt 0.000 0.000 0.500  0.21
Pt 0.000 0.500 0.000  0.21
Ru 0.500 0.000 0.000  0.36



A geometry-optimized Li2PbW structure. Source: Alexandria, functional GGA-PBEsol.

Size of the total moment in μB per cell: 0.00
Total energy in eV/atom: -4.957
Space-group type: Cmm2

a = 2.920 Å, b = 2.920 Å, c = 9.357 Å
α = 90.00°, β = 90.00°, γ = 107.59°
Atoms (fractional coordinates):
W 0.500 0.500 0.246
Li 0.500 0.500 0.746
Pb 0.000 0.000 0.493
Li 0.000 0.000 0.016



A geometry-optimized Y2TlO2 structure. Source: Alexandria, functional GGA-PBEsol.

Size of the total moment in μB per cell: 0.00
Total energy in eV/atom: -7.860
E_form (uncorrected) in eV/atom: -2.51
Space-group type: I4/mmm

a = 3.790 Å, b = 3.790 Å, c = 7.500 Å
α = 104.64°, β = 104.64°, γ = 90.00°
Atoms (fractional coordinates):
O 0.250 0.750 0.500
O 0.750 0.250 0.500
Y 0.671 0.671 0.341
Y 0.329 0.329 0.659
Tl 0.000 0.000 0.000



A geometry-optimized Zn3NF structure. Source: Alexandria, functional GGA-PBEsol.

Size of the total moment in μB per cell: 0.00
Total energy in eV/atom: -2.320
E_form (uncorrected) in eV/atom: 0.72
Space-group type: Pm-3m

a = 4.132 Å, b = 4.132 Å, c = 4.132 Å
α = 90.00°, β = 90.00°, γ = 90.00°
Atoms (fractional coordinates):
Zn 0.000 0.500 0.000
Zn 0.500 0.000 0.000
Zn 0.000 0.000 0.500
N 0.500 0.500 0.500
F 0.000 0.000 0.000



A geometry-optimized K4Sr2SnAs4 structure. Source: Alexandria, functional GGA-PBEsol.

Size of the total moment in μB per cell: 0.00
Total energy in eV/atom: -3.670
Space-group type: P6_3cm
E above lowest polymorph in meV/atom: 0.0

a = 7.592 Å, b = 18.001 Å, c = 18.001 Å
α = 120.00°, β = 90.00°, γ = 90.00°
Atoms (fractional coordinates):
Sr 0.381 0.141 0.330
Sn 0.001 0.668 0.668
As 0.607 0.537 0.855
As 0.107 0.682 0.537
Sr 0.381 0.859 0.189
K 0.205 0.134 0.134
Sr 0.881 0.811 0.141
Sr 0.381 0.670 0.811
As 0.620 0.194 0.194
As 0.107 0.855 0.318
As 0.120 0.194 0.000
K 0.705 0.134 0.000
As 0.607 0.318 0.463
As 0.620 0.000 0.806
K 0.187 0.659 0.182
K 0.705 0.866 0.866
Sr 0.881 0.670 0.859
As 0.620 0.806 0.000
K 0.880 0.000 0.530
K 0.187 0.523 0.341
Sr 0.881 0.189 0.330
K 0.380 0.530 0.530
As 0.653 0.000 0.318
As 0.153 0.000 0.682
As 0.153 0.318 0.318
K 0.687 0.659 0.477
K 0.187 0.818 0.477
K 0.187 0.182 0.659
K 0.380 0.000 0.470
Sr 0.881 0.859 0.670
As 0.107 0.537 0.682
Sn 0.501 0.332 0.332
As 0.607 0.855 0.537
K 0.205 0.866 0.000
As 0.120 0.806 0.806
As 0.607 0.682 0.145
As 0.107 0.463 0.145
Sr 0.381 0.811 0.670
As 0.107 0.145 0.463
Sr 0.881 0.330 0.189
As 0.607 0.463 0.318
Sr 0.381 0.189 0.859
Sr 0.381 0.330 0.141
K 0.880 0.470 0.470
As 0.120 0.000 0.194
K 0.187 0.341 0.523
Sr 0.881 0.141 0.811
Sn 0.501 0.000 0.668
K 0.687 0.818 0.341
K 0.205 0.000 0.866
K 0.880 0.530 0.000
K 0.687 0.182 0.523
As 0.107 0.318 0.855
As 0.153 0.682 0.000
K 0.687 0.477 0.659
K 0.380 0.470 0.000
As 0.607 0.145 0.682
K 0.687 0.523 0.182
K 0.187 0.477 0.818
As 0.653 0.682 0.682
K 0.705 0.000 0.134
K 0.687 0.341 0.818
As 0.653 0.318 0.000
Sn 0.001 0.000 0.332
Sn 0.501 0.668 0.000
Sn 0.001 0.332 0.000



A geometry-optimized LiCaIn2 structure. Source: Alexandria, functional GGA-PBEsol.

Size of the total moment in μB per cell: 0.00
Total energy in eV/atom: -2.929
Space-group type: P4/mmm

a = 3.442 Å, b = 3.439 Å, c = 7.644 Å
α = 90.00°, β = 90.00°, γ = 90.00°
Atoms (fractional coordinates):
Ca 0.500 0.500 0.500
In 0.000 0.000 0.207
Li 0.500 0.500 0.000
In 0.000 0.000 0.793



A geometry-optimized CsZnRuAu2 structure. Source: Alexandria, functional GGA-PBEsol.

Size of the total moment in μB per cell: 1.91
Total energy in eV/atom: -1.898
Space-group type: P4/mmm

a = 5.035 Å, b = 5.626 Å, c = 5.626 Å
α = 90.00°, β = 90.00°, γ = 90.00°
Last column: magnetic moment on the atom in μB.
Atoms (fractional coordinates):
Ru 0.500 0.000 0.000  1.62
Au 0.000 0.500 0.000  0.03
Cs 0.000 0.000 0.000  0.00
Zn 0.500 0.500 0.500  0.04
Au 0.000 0.000 0.500  0.03



A geometry-optimized LaReCl2 structure. Source: Alexandria, functional GGA-PBEsol.

Size of the total moment in μB per cell: 4.01
Total energy in eV/atom: -5.650
E_form (uncorrected) in eV/atom: 0.02
Space-group type: I4/mmm
E above lowest polymorph in meV/atom: 489.3

a = 4.547 Å, b = 4.547 Å, c = 5.284 Å
α = 115.48°, β = 115.48°, γ = 90.00°
Last column: magnetic moment on the atom in μB.
Atoms (fractional coordinates):
Re 0.000 0.000 0.000  3.00
La 0.500 0.500 0.000  0.01
Cl 0.250 0.750 0.500  0.11
Cl 0.750 0.250 0.500  0.11



A geometry-optimized BaTcRh structure. Source: Alexandria, functional GGA-PBEsol.

Size of the total moment in μB per cell: 0.00
Total energy in eV/atom: -6.636
Space-group type: Fmm2

a = 3.310 Å, b = 3.310 Å, c = 6.428 Å
α = 104.95°, β = 104.95°, γ = 89.88°
Atoms (fractional coordinates):
Rh 0.287 0.287 0.575
Tc 0.713 0.713 0.426
Ba 0.000 0.000 0.999



A geometry-optimized Rb3AgRh structure. Source: Alexandria, functional GGA-PBEsol.

Size of the total moment in μB per cell: 0.02
Total energy in eV/atom: -2.192
Space-group type: Pm-3m

a = 5.895 Å, b = 5.895 Å, c = 5.895 Å
α = 90.00°, β = 90.00°, γ = 90.00°
Atoms (fractional coordinates):
Rb 0.000 0.000 0.500
Ag 0.500 0.500 0.500
Rb 0.000 0.500 0.000
Rb 0.500 0.000 0.000
Rh 0.000 0.000 0.000



A geometry-optimized LiMg2Ir structure. Source: Alexandria, functional GGA-PBEsol.

Size of the total moment in μB per cell: 0.00
Total energy in eV/atom: -3.943
Space-group type: F-43m

a = 4.431 Å, b = 4.431 Å, c = 4.431 Å
α = 60.00°, β = 60.00°, γ = 60.00°
Atoms (fractional coordinates):
Li 0.750 0.750 0.750
Ir 0.500 0.500 0.500
Mg 0.250 0.250 0.250
Mg 0.000 0.000 0.000



A geometry-optimized BeAlAsBr2 structure. Source: Alexandria, functional GGA-PBEsol.

Size of the total moment in μB per cell: 0.00
Total energy in eV/atom: -3.239
E_form (uncorrected) in eV/atom: 0.15
Space-group type: P4/mmm

a = 4.753 Å, b = 4.680 Å, c = 4.680 Å
α = 90.00°, β = 90.00°, γ = 90.00°
Atoms (fractional coordinates):
Al 0.500 0.500 0.500
Br 0.000 0.500 0.000
As 0.500 0.000 0.000
Be 0.000 0.000 0.000
Br 0.000 0.000 0.500



A geometry-optimized Cr2CuAs structure. Source: Alexandria, functional GGA-PBEsol.

Size of the total moment in μB per cell: 2.79
Total energy in eV/atom: -7.249
Space-group type: I4/mmm

a = 3.667 Å, b = 3.667 Å, c = 4.448 Å
α = 114.34°, β = 114.34°, γ = 90.00°
Last column: magnetic moment on the atom in μB.
Atoms (fractional coordinates):
Cr 0.750 0.250 0.500  1.34
Cr 0.250 0.750 0.500  1.34
As 0.500 0.500 0.000  -0.03
Cu 0.000 0.000 0.000  0.04



A geometry-optimized Re2AgSb structure. Source: Alexandria, functional GGA-PBEsol.

Size of the total moment in μB per cell: 0.00
Total energy in eV/atom: -7.833
E_form (uncorrected) in eV/atom: 0.80
Space-group type: R-3m

a = 2.956 Å, b = 2.956 Å, c = 8.899 Å
α = 80.44°, β = 80.44°, γ = 60.00°
Atoms (fractional coordinates):
Ag 0.000 0.000 0.000
Sb 0.500 0.500 0.500
Re 0.753 0.753 0.742
Re 0.247 0.247 0.258



A geometry-optimized TlIn5 structure. Source: Alexandria, functional GGA-PBEsol.

Size of the total moment in μB per cell: 0.00
Total energy in eV/atom: -2.910
Space-group type: Amm2
E above lowest polymorph in meV/atom: 9.8

a = 3.292 Å, b = 5.308 Å, c = 9.068 Å
α = 90.00°, β = 100.46°, γ = 90.00°
Atoms (fractional coordinates):
In 0.778 0.500 0.556
In 0.671 0.000 0.343
Tl 0.109 0.500 0.218
In 0.440 0.500 0.881
In 0.335 0.000 0.670
In 0.000 0.000 0.000



A geometry-optimized MgPAu2 structure. Source: Alexandria, functional GGA-PBEsol.

Size of the total moment in μB per cell: 0.00
Total energy in eV/atom: -3.965
Space-group type: P4mm
E above lowest polymorph in meV/atom: 53.7

a = 3.501 Å, b = 3.502 Å, c = 5.573 Å
α = 90.00°, β = 90.00°, γ = 90.00°
Atoms (fractional coordinates):
Au 0.500 0.500 0.261
P 0.500 0.500 0.799
Mg 0.000 0.000 0.482
Au 0.000 0.000 0.958



A geometry-optimized La2CoSb structure. Source: Alexandria, functional GGA-PBEsol.

Size of the total moment in μB per cell: 0.00
Total energy in eV/atom: -6.155
E_form (uncorrected) in eV/atom: -0.41
Space-group type: Cmmm
E above lowest polymorph in meV/atom: 0.0

a = 3.526 Å, b = 3.526 Å, c = 7.951 Å
α = 90.00°, β = 90.00°, γ = 97.90°
Atoms (fractional coordinates):
La 0.000 0.000 0.207
Sb 0.500 0.500 0.500
La 0.000 0.000 0.793
Co 0.500 0.500 0.000



A geometry-optimized ZrTl2PbSe4 structure. Source: Alexandria, functional GGA-PBEsol.

Size of the total moment in μB per cell: 0.00
Total energy in eV/atom: -5.013
E_form (uncorrected) in eV/atom: -0.79
Space-group type: C2/c

a = 6.987 Å, b = 8.411 Å, c = 8.897 Å
α = 118.21°, β = 106.66°, γ = 90.00°
Atoms (fractional coordinates):
Tl 0.731 0.622 0.496
Se 0.469 0.765 0.220
Tl 0.269 0.378 0.504
Zr 0.250 0.877 0.000
Pb 0.750 0.623 0.000
Tl 0.769 0.126 0.504
Se 0.504 0.207 0.204
Se 0.496 0.793 0.796
Se 0.969 0.455 0.220
Tl 0.231 0.874 0.496
Se 0.004 0.997 0.204
Zr 0.750 0.123 0.000
Se 0.531 0.235 0.780
Se 0.031 0.545 0.780
Pb 0.250 0.377 0.000
Se 0.996 0.003 0.796



A geometry-optimized BaPtN2O structure. Source: Alexandria, functional GGA-PBEsol.

Size of the total moment in μB per cell: 0.00
Total energy in eV/atom: -6.418
E_form (uncorrected) in eV/atom: -0.13
Space-group type: P4/mmm

a = 3.852 Å, b = 3.852 Å, c = 4.685 Å
α = 90.00°, β = 90.00°, γ = 90.00°
Atoms (fractional coordinates):
Pt 0.000 0.000 0.000
Ba 0.500 0.500 0.500
N 0.500 0.000 0.000
N 0.000 0.500 0.000
O 0.000 0.000 0.500



A geometry-optimized SrZnP structure. Source: Alexandria, functional GGA-PBEsol.

Size of the total moment in μB per cell: 0.00
Total energy in eV/atom: -3.363
Space-group type: I4mm

a = 3.498 Å, b = 3.498 Å, c = 5.793 Å
α = 107.57°, β = 107.57°, γ = 90.00°
Atoms (fractional coordinates):
Zn 0.373 0.373 0.745
P 0.963 0.963 0.927
Sr 0.664 0.664 0.328